## LiSmW2O8 (SCAN)

Data for a crystal of LiSmW2O8 relaxed with PBEsol.

Properties
The calculation puts the energy above the lowest structure with this stoichiometry at 0.011 eV/atom. The value obtained for the calculated total energy is -0.8217 hartree per atom. The density is 7.3 g cm⁻³. As for the volume: 12.4 A^3/atom. As for the space group: I-4, No. 82. The raw formation energy is -2.689 eV/atom.

Cell and atoms, written as extended XYZ:
```
12
Lattice="5.1917 0.0000 0.0000 0.0000 5.1917 0.0000 -2.5959 -2.5959 5.5261" Properties=species:S:1:pos:R:3 pbc="T T T"
Li 0.0000 0.0000 0.0000
Sm 0.0000 2.5959 2.7631
W 2.5959 2.5959 0.0000
W 2.5959 0.0000 2.7631
O 0.8337 -1.2471 4.5295
O -0.8337 1.2471 4.5295
O 3.8632 0.8368 1.7891
O 1.3285 -0.8368 1.7891
O 1.7590 1.2673 3.7370
O 3.4327 -1.2673 3.7370
O 1.3487 1.7622 0.9966
O 3.8430 3.4295 0.9966
```